1.
Material: Tb3Si2Ir3
Method: DFT, PBE-GGA
State: optimized geometry

The structure in POSCAR format:
```
Tb3Si2Ir3
1.0
-1.6700 -1.3365 -3.4901
5.4738 0.3032 -0.3348
1.0820 -14.1299 4.8931
Tb Si Ir
6 4 6
direct
0.9308 0.8616 0.3911 Tb
0.0692 0.1384 0.8911 Tb
0.9308 0.8616 0.1089 Tb
0.0692 0.1384 0.6089 Tb
0.6399 0.2798 0.2500 Tb
0.3601 0.7202 0.7500 Tb
0.7781 0.5562 0.8970 Si
0.2219 0.4438 0.3970 Si
0.7781 0.5562 0.6030 Si
0.2219 0.4438 0.1030 Si
0.6477 0.2954 0.4634 Ir
0.3523 0.7046 0.9634 Ir
0.6477 0.2954 0.0366 Ir
0.3523 0.7046 0.5366 Ir
0.3351 0.6702 0.2500 Ir
0.6649 0.3298 0.7500 Ir
```

Output
* energy relative to the lowest polymorph listed for this composition: 0.057 eV/atom
* symmetry: Cmcm (63)
* formation energy from raw total energies: -93 kJ per mole of atoms

=====

2.
Material: HfIrRh3
Method: DFT, PBE-GGA
State: optimized geometry

The structure in POSCAR format:
```
HfIrRh3
1.0
-1.8306 2.6126 -3.4335
3.0745 -1.8268 -3.0292
-3.0270 -3.4355 -1.0004
Rh Ir Hf
3 1 1
direct
0.0000 0.5000 0.0000 Rh
0.0000 0.0000 0.5000 Rh
0.5000 0.0000 0.0000 Rh
0.0000 0.0000 0.0000 Ir
0.5000 0.5000 0.5000 Hf
```

Output
* ΔE_f: 1021 meV per atom
* energy relative to the lowest polymorph listed for this composition: 1.258 eV/atom
* symmetry: Pm-3m (221)

=====

3.
Material: Ac2BeCuPd6
Method: DFT, PBE-GGA
State: optimized geometry

The structure in POSCAR format:
```
Ac2BeCuPd6
1.0
-2.7967 -1.3867 5.1927
-3.6175 -5.1218 -3.3936
-0.3460 -6.9357 1.3395
Ac Be Cu Pd
2 1 1 6
direct
0.7343 0.2680 0.5365 Ac
0.2657 0.7320 0.4635 Ac
0.5000 0.5000 0.0000 Be
0.0000 0.0000 0.0000 Cu
0.2639 0.2107 0.4778 Pd
0.7967 0.7385 0.9449 Pd
0.2636 0.7389 0.9551 Pd
0.7364 0.2611 0.0450 Pd
0.2033 0.2615 0.0551 Pd
0.7361 0.7893 0.5222 Pd
```

Output
* ΔE_f: -615 meV per atom
* symmetry: P-1 (2)

=====

Asked for N(E_F) across the records above, the calculation gives 7.96; 7.93; 3.01 states/eV per cell in order.
Asked for VASP energy across the records above, the calculation gives -7.378; -7.153; -5.334 eV per atom in order.